Record 1
VASP calculation (PBE) on a relaxed FeTe2I2 crystal.

a b c (Å): 7.2030 7.2030 8.2749
angles (deg): 90.00 90.00 90.00
Sites, in units of the cell vectors:
I 0.3188 0.8188 0.0000
I 0.1812 0.3188 0.0000
I 0.8188 0.6812 0.0000
I 0.6812 0.1812 0.0000
Te 0.1293 0.6293 0.5000
Te 0.6293 0.8707 0.5000
Te 0.8707 0.3707 0.5000
Te 0.3707 0.1293 0.5000
Fe 0.0000 0.0000 0.0000
Fe 0.5000 0.5000 0.0000

Spin magnetization in μB per cell: 9.353
Space-group type: P4/mbm (127)
Density of states at the Fermi level in states/eV/cell: 24.75
ΔE_f (raw) in eV per formula unit: 1.9


Record 2
VASP calculation (PBE) on a relaxed Ce2Y3PuAs6 crystal.

a b c (Å): 4.1646 8.3070 9.2988
angles (deg): 102.86 102.94 90.00
Sites, in units of the cell vectors:
Ce 0.8343 0.6683 0.6687
Ce 0.1657 0.3317 0.3313
As 0.6668 0.0813 0.3337
As 0.3332 0.9187 0.6663
As 0.0010 0.7512 0.0019
As 0.9990 0.2488 0.9981
As 0.6664 0.5849 0.3327
As 0.3336 0.4151 0.6673
Pu 0.5000 0.0000 0.0000
Y 0.5000 0.5000 0.0000
Y 0.1668 0.8338 0.3335
Y 0.8332 0.1662 0.6665

Spin magnetization in μB per cell: 6.466
Space-group type: C2/m (12)
Density of states at the Fermi level in states/eV/cell: 21.41
Uncorrected energy in Ry/atom: -0.5550


Record 3
VASP calculation (PBE) on a relaxed MnAl2In crystal.

a b c (Å): 4.6614 4.6614 4.6614
angles (deg): 60.00 60.00 60.00
Sites, in units of the cell vectors:
Al 0.2500 0.2500 0.2500
Al 0.0000 0.0000 0.0000
Mn 0.7500 0.7500 0.7500
In 0.5000 0.5000 0.5000

Spin magnetization in μB per cell: 3.317
Space-group type: F-43m (216)
Density of states at the Fermi level in states/eV/cell: 2.65
Uncorrected energy in Ry/atom: -0.3340


Record 4
VASP calculation (PBE) on a relaxed KZnNi2Pb crystal.

a b c (Å): 4.6617 5.3177 4.6617
angles (deg): 90.00 90.00 90.00
Sites, in units of the cell vectors:
Ni 0.5000 0.0000 0.0000
Ni 0.0000 0.0000 0.5000
Zn 0.0000 0.0000 0.0000
K 0.0000 0.5000 0.0000
Pb 0.5000 0.5000 0.5000

Spin magnetization in μB per cell: 0.000
Space-group type: P4/mmm (123)
Density of states at the Fermi level in states/eV/cell: 3.60
Uncorrected energy in Ry/atom: -0.2047


Record 5
VASP calculation (PBE) on a relaxed Cs4K2Hg crystal.

a b c (Å): 7.3972 7.3972 12.9517
angles (deg): 73.41 73.41 90.00
Sites, in units of the cell vectors:
Cs 0.0000 0.5000 0.0000
Cs 0.1681 0.1681 0.6638
Cs 0.8319 0.8319 0.3362
Cs 0.5000 0.0000 0.0000
Hg 0.0000 0.0000 0.0000
K 0.3649 0.3649 0.2703
K 0.6351 0.6351 0.7297

Spin magnetization in μB per cell: 0.000
Space-group type: I4/mmm (139)
Density of states at the Fermi level in states/eV/cell: 7.08
Uncorrected energy in Ry/atom: -0.0636


Record 6
VASP calculation (PBE) on a relaxed ZrNiAg2Au crystal.

a b c (Å): 4.6676 4.7698 4.6676
angles (deg): 90.00 90.00 90.00
Sites, in units of the cell vectors:
Ag 0.0000 0.0000 0.5000
Ag 0.5000 0.0000 0.0000
Ni 0.0000 0.0000 0.0000
Au 0.0000 0.5000 0.0000
Zr 0.5000 0.5000 0.5000

Spin magnetization in μB per cell: 0.001
Space-group type: P4/mmm (123)
Density of states at the Fermi level in states/eV/cell: 9.49
Uncorrected energy in Ry/atom: -0.2966


Record 7
VASP calculation (PBE) on a relaxed TbCo4Ni crystal.

a b c (Å): 4.8725 4.8725 4.8725
angles (deg): 60.00 60.00 60.00
Sites, in units of the cell vectors:
Ni 0.2500 0.2500 0.2500
Tb 0.0000 0.0000 0.0000
Co 0.6237 0.1289 0.6237
Co 0.6237 0.6237 0.1289
Co 0.1289 0.6237 0.6237
Co 0.6237 0.6237 0.6237

Spin magnetization in μB per cell: 6.631
Space-group type: F-43m (216)
Density of states at the Fermi level in states/eV/cell: 6.11
Uncorrected energy in Ry/atom: -0.4778


Record 8
VASP calculation (PBE) on a relaxed B2Pb3O6 crystal.

a b c (Å): 4.2854 4.2854 9.9178
angles (deg): 87.44 87.44 79.09
Sites, in units of the cell vectors:
O 0.9602 0.5207 0.8348
O 0.4048 0.4048 0.3479
O 0.4793 0.0398 0.1652
O 0.0398 0.4793 0.1652
O 0.5952 0.5952 0.6521
O 0.5207 0.9602 0.8348
Pb 0.0000 0.0000 0.0000
Pb 0.7507 0.7507 0.3464
Pb 0.2493 0.2493 0.6536
B 0.3142 0.3142 0.2241
B 0.6858 0.6858 0.7759

Spin magnetization in μB per cell: 0.000
Space-group type: C2/m (12)
Density of states at the Fermi level in states/eV/cell: 0.00
ΔE_f (raw) in eV per formula unit: -19.3


Record 9
VASP calculation (PBE) on a relaxed Pm2DyScP4 crystal.

a b c (Å): 4.0181 6.9494 6.9389
angles (deg): 109.51 90.00 90.00
Sites, in units of the cell vectors:
P 0.5000 0.7621 0.7672
P 0.0000 0.7522 0.2375
P 0.0000 0.2478 0.7625
P 0.5000 0.2379 0.2328
Sc 0.0000 0.0000 0.0000
Pm 0.5000 0.0000 0.5000
Pm 0.0000 0.5000 0.5000
Dy 0.5000 0.5000 0.0000

Spin magnetization in μB per cell: 0.000
Space-group type: P2/m (10)
Density of states at the Fermi level in states/eV/cell: 0.72
Uncorrected energy in Ry/atom: -0.4988


Record 10
VASP calculation (PBE) on a relaxed V3Pt2Rh3 crystal.

a b c (Å): 3.8286 3.8533 7.6409
angles (deg): 90.00 90.00 90.00
Sites, in units of the cell vectors:
V 0.5000 0.5000 0.2516
V 0.5000 0.0000 0.0000
V 0.5000 0.5000 0.7484
Pt 0.0000 0.0000 0.2474
Pt 0.0000 0.0000 0.7526
Rh 0.0000 0.5000 0.0000
Rh 0.0000 0.5000 0.5000
Rh 0.5000 0.0000 0.5000

Spin magnetization in μB per cell: 0.000
Space-group type: Pmmm (47)
Density of states at the Fermi level in states/eV/cell: 5.85
Uncorrected energy in Ry/atom: -0.5995


Record 11
VASP calculation (PBE) on a relaxed Ba2TaTcN crystal.

a b c (Å): 6.3403 4.5307 6.3403
angles (deg): 90.00 90.00 90.00
Sites, in units of the cell vectors:
N 0.5000 0.5000 0.5000
Ta 0.0000 0.0000 0.0000
Ba 0.0000 0.0000 0.5000
Ba 0.5000 0.0000 0.0000
Tc 0.0000 0.5000 0.0000

Spin magnetization in μB per cell: 0.222
Space-group type: P4/mmm (123)
Density of states at the Fermi level in states/eV/cell: 6.41
ΔE_f (raw) in eV per formula unit: 8.8


Record 12
VASP calculation (PBE) on a relaxed Tl3VBi crystal.

a b c (Å): 6.0528 6.0528 6.0528
angles (deg): 90.00 90.00 90.00
Sites, in units of the cell vectors:
Tl 0.0000 0.0000 0.5000
Tl 0.5000 0.0000 0.0000
Tl 0.0000 0.5000 0.0000
V 0.5000 0.5000 0.5000
Bi 0.0000 0.0000 0.0000

Spin magnetization in μB per cell: 4.224
Space-group type: Pm-3m (221)
Density of states at the Fermi level in states/eV/cell: 11.35
Uncorrected energy in Ry/atom: -0.2126


Record 13
VASP calculation (PBE) on a relaxed Pr4CdPdAu2 crystal.

a b c (Å): 5.3165 5.3165 9.1570
angles (deg): 73.12 73.12 60.00
Sites, in units of the cell vectors:
Pr 0.1304 0.1304 0.6087
Pr 0.8696 0.8696 0.3913
Pr 0.6182 0.6182 0.1453
Pr 0.3818 0.3818 0.8547
Au 0.2594 0.2594 0.2219
Au 0.7406 0.7406 0.7781
Pd 0.5000 0.5000 0.5000
Cd 0.0000 0.0000 0.0000

Spin magnetization in μB per cell: 0.000
Space-group type: R-3m (166)
Density of states at the Fermi level in states/eV/cell: 7.23
Uncorrected energy in Ry/atom: -0.3381


Record 14
VASP calculation (PBE) on a relaxed Tb2Sm6Dy3Ho crystal.

a b c (Å): 6.2166 6.2166 11.8468
angles (deg): 95.00 95.00 119.98
Sites, in units of the cell vectors:
Sm 0.0837 0.4169 0.2502
Sm 0.4169 0.0837 0.2502
Sm 0.7506 0.7506 0.2503
Sm 0.2494 0.2494 0.7497
Sm 0.9163 0.5831 0.7498
Sm 0.5831 0.9163 0.7498
Ho 0.0000 0.0000 0.0000
Tb 0.3334 0.6666 0.0000
Tb 0.6666 0.3334 0.0000
Dy 0.8333 0.1667 0.5000
Dy 0.1667 0.8333 0.5000
Dy 0.5000 0.5000 0.5000

Spin magnetization in μB per cell: 0.000
Space-group type: C2/m (12)
Density of states at the Fermi level in states/eV/cell: 14.72
Uncorrected energy in Ry/atom: -0.3418


Record 15
VASP calculation (PBE) on a relaxed Li2ThTl3 crystal.

a b c (Å): 3.5678 3.5678 11.2267
angles (deg): 90.00 90.00 90.00
Sites, in units of the cell vectors:
Tl 0.0000 0.0000 0.2957
Tl 0.0000 0.0000 0.0000
Tl 0.0000 0.0000 0.7043
Li 0.5000 0.5000 0.1511
Li 0.5000 0.5000 0.8489
Th 0.5000 0.5000 0.5000

Spin magnetization in μB per cell: 0.000
Space-group type: P4/mmm (123)
Density of states at the Fermi level in states/eV/cell: 3.46
Uncorrected energy in Ry/atom: -0.2390


Record 16
VASP calculation (PBE) on a relaxed MnCdCuB2 crystal.

a b c (Å): 3.8726 4.8242 3.8726
angles (deg): 90.00 90.00 90.00
Sites, in units of the cell vectors:
Cu 0.0000 0.0000 0.0000
B 0.0000 0.0000 0.5000
B 0.5000 0.0000 0.0000
Mn 0.0000 0.5000 0.0000
Cd 0.5000 0.5000 0.5000

Spin magnetization in μB per cell: 3.671
Space-group type: P4/mmm (123)
Density of states at the Fermi level in states/eV/cell: 2.45
Uncorrected energy in Ry/atom: -0.3207


Record 17
VASP calculation (PBE) on a relaxed Tb2HgSe crystal.

a b c (Å): 3.9298 3.9298 8.2660
angles (deg): 76.25 76.25 60.00
Sites, in units of the cell vectors:
Tb 0.0745 0.0745 0.7766
Tb 0.2581 0.2581 0.2258
Se 0.6679 0.6679 0.9963
Hg 0.4995 0.4995 0.5014

Spin magnetization in μB per cell: 0.000
Space-group type: R3m (160)
Density of states at the Fermi level in states/eV/cell: 2.95
ΔE_f (raw) in eV per formula unit: -4.2


Record 18
VASP calculation (PBE) on a relaxed PmYAu4 crystal.

a b c (Å): 3.7911 5.3130 7.5652
angles (deg): 80.50 75.58 111.08
Sites, in units of the cell vectors:
Au 0.8311 0.4922 0.3357
Au 0.3407 0.0000 0.8239
Au 0.1716 0.5023 0.6606
Au 0.6619 0.9946 0.1724
Pm 0.5013 0.4973 0.9981
Y 0.0013 0.9973 0.4981

Spin magnetization in μB per cell: 0.000
Space-group type: P-1 (2)
Density of states at the Fermi level in states/eV/cell: 2.58
Uncorrected energy in Ry/atom: -0.3585


Record 19
VASP calculation (PBE) on a relaxed La8Si3CBr4 crystal.

a b c (Å): 8.5143 9.0054 8.5141
angles (deg): 118.21 120.00 90.00
Sites, in units of the cell vectors:
La 0.7386 0.7159 0.4772
La 0.2614 0.2841 0.5228
La 0.2408 0.2999 0.0204
La 0.7592 0.7001 0.9796
La 0.2205 0.7002 0.4410
La 0.7795 0.2999 0.0204
La 0.7795 0.2998 0.5590
La 0.2205 0.7001 0.9796
Si 0.5000 0.5000 0.5000
Si 0.5000 0.5000 0.0000
Si 0.0000 0.5000 0.5000
C 0.0000 0.5000 0.0000
Br 0.5000 0.0000 0.5000
Br 0.5000 0.0000 0.0000
Br 0.0000 0.0000 0.0000
Br 0.0000 0.0000 0.5000

Spin magnetization in μB per cell: 0.000
Space-group type: R-3m (166)
Density of states at the Fermi level in states/eV/cell: 6.87
ΔE_f (raw) in eV per formula unit: -17.0


Record 20
VASP calculation (PBE) on a relaxed Rb2NdSmSe4 crystal.

a b c (Å): 4.3532 7.5389 8.4042
angles (deg): 107.39 90.00 90.00
Sites, in units of the cell vectors:
Rb 0.0000 0.5000 0.5000
Rb 0.5000 0.0000 0.5000
Sm 0.5000 0.5000 0.0000
Se 0.0000 0.2695 0.8006
Se 0.5000 0.2361 0.2006
Se 0.5000 0.7639 0.7994
Se 0.0000 0.7305 0.1994
Nd 0.0000 0.0000 0.0000

Spin magnetization in μB per cell: 0.000
Space-group type: P2/m (10)
Density of states at the Fermi level in states/eV/cell: 0.00
ΔE_f (raw) in eV per formula unit: -13.9


Record 21
VASP calculation (PBE) on a relaxed PmNd2Ho crystal.

a b c (Å): 5.1460 5.1502 6.2893
angles (deg): 114.17 114.15 90.00
Sites, in units of the cell vectors:
Nd 0.0000 0.0000 0.9999
Nd 0.7502 0.2502 0.5003
Ho 0.5000 0.5000 0.0001
Pm 0.2498 0.7498 0.4997

Spin magnetization in μB per cell: 0.000
Space-group type: I-4m2 (119)
Density of states at the Fermi level in states/eV/cell: 5.89
Uncorrected energy in Ry/atom: -0.3454


Record 22
VASP calculation (PBE) on a relaxed Ti3NbMo2 crystal.

a b c (Å): 4.5585 6.7697 7.1853
angles (deg): 96.50 108.49 90.00
Sites, in units of the cell vectors:
Ti 0.9286 0.1536 0.8573
Ti 0.3106 0.0309 0.6212
Ti 0.6894 0.9691 0.3788
Ti 0.6121 0.5679 0.2242
Ti 0.0714 0.8464 0.1427
Ti 0.3879 0.4321 0.7758
Mo 0.2327 0.6601 0.4654
Mo 0.7673 0.3399 0.5346
Mo 0.5370 0.1785 0.0739
Mo 0.4630 0.8215 0.9261
Nb 0.1524 0.2822 0.3049
Nb 0.8476 0.7178 0.6951

Spin magnetization in μB per cell: 0.000
Space-group type: C2/m (12)
Density of states at the Fermi level in states/eV/cell: 18.06
Uncorrected energy in Ry/atom: -0.6734